No. 1
Material: K3Pa3CdTe8
Method: DFT, PBE-GGA
State: relaxed

Unit cell a=8.849 b=8.849 c=9.878 alpha=116.57 beta=116.57 gamma=60.02
Positions (direct):
K (0.000, 0.000, 0.000)
K (0.000, 0.500, 0.000)
K (0.500, 0.000, 0.000)
Pa (0.000, 0.500, 0.500)
Pa (0.500, 0.000, 0.500)
Pa (0.500, 0.500, 0.500)
Cd (0.000, 0.000, 0.500)
Te (0.238, 0.238, 0.708)
Te (0.238, 0.731, 0.708)
Te (0.262, 0.262, 0.286)
Te (0.269, 0.762, 0.292)
Te (0.731, 0.238, 0.708)
Te (0.738, 0.738, 0.714)
Te (0.762, 0.269, 0.292)
Te (0.762, 0.762, 0.292)

Output
**E_form (uncorrected)**: -848 meV per atom
**Spin magnetization**: 3.93 Bohr magnetons per cell
**Crystal system**: monoclinic
**SG**: C2/m, No. 12
**E_tot**: -4.703 eV per atom

=====

No. 2
Material: KCdPb
Method: DFT, PBE-GGA
State: relaxed

Unit cell a=7.819 b=7.819 c=7.819 alpha=90.00 beta=90.00 gamma=90.00
Positions (direct):
K (0.000, 0.000, 0.000)
K (0.000, 0.500, 0.500)
K (0.500, 0.000, 0.500)
K (0.500, 0.500, 0.000)
Cd (0.250, 0.250, 0.250)
Cd (0.250, 0.750, 0.750)
Cd (0.750, 0.250, 0.750)
Cd (0.750, 0.750, 0.250)
Pb (0.250, 0.250, 0.750)
Pb (0.250, 0.750, 0.250)
Pb (0.750, 0.250, 0.250)
Pb (0.750, 0.750, 0.750)

Output
**Spin magnetization**: 0.75 Bohr magnetons per cell
**Crystal system**: cubic
**E above lowest polymorph**: 1.70 eV/f.u.
**ΔE_f**: 41.3 kJ/mol of atoms
**SG**: F-43m, No. 216
**E_tot**: -1.479 eV per atom

=====

No. 3
Material: K3CdPb
Method: DFT, PBE-GGA
State: relaxed

Unit cell a=8.100 b=8.100 c=9.061 alpha=116.85 beta=116.85 gamma=80.27
Positions (direct):
K (0.027, 0.027, 0.258)
K (0.077, 0.484, 0.772)
K (0.484, 0.077, 0.772)
K (0.516, 0.923, 0.228)
K (0.923, 0.516, 0.228)
K (0.973, 0.973, 0.742)
Cd (0.322, 0.322, 0.137)
Cd (0.678, 0.678, 0.863)
Pb (0.391, 0.391, 0.541)
Pb (0.609, 0.609, 0.459)

Output
**Spin magnetization**: 0.00 Bohr magnetons per cell
**Crystal system**: monoclinic
**E above lowest polymorph**: 0.36 eV/f.u.
**ΔE_f**: -3.2 kJ/mol of atoms
**SG**: C2/m, No. 12
**E_tot**: -1.616 eV per atom